# PdAuC2 | Alexandria via LeMat-Bulk | PBEsol | optimized geometry
data_PdAuC2
_chemical_formula_sum 'Pd4 Au4 C8'
_cell_length_a 5.626
_cell_length_b 5.626
_cell_length_c 5.626
_cell_angle_alpha 90.00
_cell_angle_beta 90.00
_cell_angle_gamma 90.00
_space_group_name_H-M_alt 'F m -3 m'
_space_group_IT_number 225
_space_group_name_Hall '-F 4 2 3'
loop_
_atom_site_label
_atom_site_fract_x
_atom_site_fract_y
_atom_site_fract_z
Pd1 0.000 0.000 0.000
Au1 0.000 0.000 0.500
C1 0.250 0.250 0.250
# E_form, eV per atom: 2.063
# Energy above the lowest structure with this stoichiometry, eV per atom: 0.565

# RhAu3C | Alexandria via LeMat-Bulk | PBEsol | optimized geometry
data_RhAu3C
_chemical_formula_sum 'Rh1 Au3 C1'
_cell_length_a 4.899
_cell_length_b 4.899
_cell_length_c 4.899
_cell_angle_alpha 90.00
_cell_angle_beta 90.00
_cell_angle_gamma 90.00
_space_group_name_H-M_alt 'P m -3 m'
_space_group_IT_number 221
_space_group_name_Hall '-P 4 2 3'
loop_
_atom_site_label
_atom_site_fract_x
_atom_site_fract_y
_atom_site_fract_z
Rh1 0.000 0.000 0.000
Au1 0.000 0.000 0.500
C1 0.500 0.500 0.500
# E_form, eV per atom: 2.542

# ZrRhAuC2 | Alexandria via LeMat-Bulk | PBEsol | optimized geometry
data_ZrRhAuC2
_chemical_formula_sum 'Zr1 Rh1 Au1 C2'
_cell_length_a 3.884
_cell_length_b 3.884
_cell_length_c 5.412
_cell_angle_alpha 90.00
_cell_angle_beta 90.00
_cell_angle_gamma 90.00
_space_group_name_H-M_alt 'P 4/m m m'
_space_group_IT_number 123
_space_group_name_Hall '-P 4 2'
loop_
_atom_site_label
_atom_site_fract_x
_atom_site_fract_y
_atom_site_fract_z
Zr1 0.000 0.000 0.000
Rh1 0.000 0.000 0.500
Au1 0.500 0.500 0.000
C1 0.000 0.500 0.500
# E_form, eV per atom: 1.288

# AuCS3 | Alexandria via LeMat-Bulk | PBEsol | optimized geometry
data_AuCS3
_chemical_formula_sum 'Au1 C1 S3'
_cell_length_a 4.744
_cell_length_b 4.744
_cell_length_c 4.744
_cell_angle_alpha 90.00
_cell_angle_beta 90.00
_cell_angle_gamma 90.00
_space_group_name_H-M_alt 'P m -3 m'
_space_group_IT_number 221
_space_group_name_Hall '-P 4 2 3'
loop_
_atom_site_label
_atom_site_fract_x
_atom_site_fract_y
_atom_site_fract_z
Au1 0.000 0.000 0.000
C1 0.500 0.500 0.500
S1 0.000 0.000 0.500
# Formation energy (no corrections), eV/atom: 2.174

| no. | VASP energy (eV per atom) | total magnetization (μB per formula unit) | Fermi-level density of states (states/eV/f.u.) |
| --- | --- | --- | --- |
| 1 | -5.23 | 0.0 | 2.667 |
| 2 | -3.37 | 2.8 | 8.236 |
| 3 | -6.80 | 0.0 | 4.261 |
| 4 | -3.17 | 0.3 | 5.585 |